(1)
DFT (GGA-PBE) results for crystalline AlTeSe2N at its relaxed geometry.

Cell lengths 4.8822, 4.8822, 5.4238 Å; angles 90.00, 90.00, 90.00 degrees
Atoms (fractional coordinates):
Al 0.0000 0.0000 0.0000
Te 0.0000 0.0000 0.5000
Se 0.0000 0.5000 0.0000
Se 0.5000 0.0000 0.0000
N 0.5000 0.5000 0.5000

Results
Formation energy from raw total energies, kcal/mol of atoms: 26.5
Final energy, eV per cell: -16.43
M_tot, μB per formula unit: 1.57
DOS at the Fermi energy, states/eV per atom: 0.8698
Energy relative to the lowest polymorph listed for this composition, meV/atom: 885.2

=====

(2)
DFT (GGA-PBE) results for crystalline AlTeSeN2 at its relaxed geometry.

Cell lengths 3.9739, 3.9739, 5.7989 Å; angles 90.00, 90.00, 90.00 degrees
Atoms (fractional coordinates):
Al 0.0000 0.0000 0.0000
Te 0.5000 0.5000 0.5000
Se 0.5000 0.5000 0.0000
N 0.0000 0.5000 0.5000
N 0.5000 0.0000 0.5000

Results
Formation energy from raw total energies, kcal/mol of atoms: 27.6
Final energy, eV per cell: -21.03
M_tot, μB per formula unit: 0.00
DOS at the Fermi energy, states/eV per atom: 0.2246
Energy relative to the lowest polymorph listed for this composition, meV/atom: 358.7